Record 1
Entry from Alexandria via LeMat-Bulk: Sm2Al4Fe13 at its PBEsol-relaxed geometry (meta-GGA SCAN).

Cell: 6.357 6.357 6.357 Å, 81.38 81.38 81.38°
Last column: magnetic moment on the atom in μB.
Positions (direct):
Fe1 0.298 0.001 0.706  2.48
Fe2 0.001 0.706 0.298  2.48
Fe3 0.341 0.828 0.341  2.21
Fe4 0.656 0.656 0.175  2.36
Fe5 0.341 0.341 0.828  2.21
Fe6 0.656 0.175 0.656  2.36
Fe7 0.298 0.706 0.001  2.48
Fe8 0.828 0.341 0.341  2.21
Fe9 0.706 0.001 0.298  2.48
Fe10 0.001 0.298 0.706  2.48
Fe11 0.903 0.903 0.903  2.49
Fe12 0.175 0.656 0.656  2.36
Fe13 0.706 0.298 0.001  2.48
Al1 0.511 0.997 0.997  -0.09
Al2 0.997 0.997 0.511  -0.09
Al3 0.089 0.089 0.089  -0.08
Al4 0.997 0.511 0.997  -0.09
Sm1 0.340 0.340 0.340  -0.31
Sm2 0.659 0.659 0.659  -0.31

The calculation puts the density of states at the Fermi level at 14.96 states/eV/cell. The formation energy comes out at -1.526 eV per formula unit. The space group is R3m.

Record 2
Entry from Alexandria via LeMat-Bulk: AlFe2Sn at its PBEsol-relaxed geometry (meta-GGA SCAN).

Cell: 4.181 4.181 4.181 Å, 60.00 60.00 60.00°
Positions (direct):
Fe1 0.750 0.750 0.750
Fe2 0.250 0.250 0.250
Sn1 0.500 0.500 0.500
Al1 0.000 0.000 0.000

The calculation puts the density of states at the Fermi level at 3.79 states/eV/cell. The formation energy comes out at 0.331 eV per formula unit. The space group is Fm-3m.

Record 3
Entry from Alexandria via LeMat-Bulk: YAlFe2Sn at its PBEsol-relaxed geometry (meta-GGA SCAN).

Cell: 4.645 4.645 5.621 Å, 90.00 90.00 90.00°
Last column: magnetic moment on the atom in μB.
Positions (direct):
Fe1 0.000 0.500 0.000  2.73
Fe2 0.500 0.000 0.000  2.73
Sn1 0.000 0.000 0.500  0.02
Al1 0.500 0.500 0.500  0.03
Y1 0.000 0.000 0.000  -0.44

The calculation puts the density of states at the Fermi level at 4.16 states/eV/cell. The formation energy comes out at 7.932 eV per formula unit. The space group is P4/mmm.

Record 4
Entry from Alexandria via LeMat-Bulk: Sr3AlFe at its PBEsol-relaxed geometry (meta-GGA SCAN).

Cell: 6.097 6.097 6.097 Å, 90.00 90.00 90.00°
Last column: magnetic moment on the atom in μB.
Positions (direct):
Al1 0.000 0.000 0.000  -0.02
Sr1 0.000 0.000 0.500  -0.03
Sr2 0.500 0.000 0.000  -0.03
Sr3 0.000 0.500 0.000  -0.03
Fe1 0.500 0.500 0.500  3.12

The calculation puts the density of states at the Fermi level at 5.19 states/eV/cell. The formation energy comes out at 3.459 eV per formula unit. The space group is Pm-3m.

Record 5
Entry from Alexandria via LeMat-Bulk: SrAl2Fe at its PBEsol-relaxed geometry (meta-GGA SCAN).

Cell: 3.033 3.033 7.743 Å, 90.00 90.00 90.00°
Positions (direct):
Fe1 0.500 0.500 0.500
Al1 0.000 0.000 0.331
Al2 0.000 0.000 0.669
Sr1 0.500 0.500 0.000

The calculation puts the density of states at the Fermi level at 2.21 states/eV/cell. The formation energy comes out at 0.001 eV per formula unit. The space group is P4/mmm.

Record 6
Entry from Alexandria via LeMat-Bulk: TaAl2Fe at its PBEsol-relaxed geometry (meta-GGA SCAN).

Cell: 2.758 4.086 5.239 Å, 90.00 103.09 90.00°
Last column: magnetic moment on the atom in μB.
Positions (direct):
Al1 0.660 0.000 0.767  -0.02
Al2 0.340 0.000 0.233  -0.02
Fe1 0.500 0.500 0.000  2.15
Ta1 0.000 0.500 0.500  -0.11

The calculation puts the density of states at the Fermi level at 2.09 states/eV/cell. The formation energy comes out at -0.755 eV per formula unit. The space group is P2/m.

Record 7
Entry from Alexandria via LeMat-Bulk: TaAl2Fe at its PBEsol-relaxed geometry (meta-GGA SCAN).

Cell: 2.855 2.855 6.759 Å, 90.00 90.00 90.00°
Last column: magnetic moment on the atom in μB.
Positions (direct):
Ta1 0.500 0.500 0.500  -0.01
Al1 0.000 0.000 0.799  0.00
Al2 0.000 0.000 0.201  0.00
Fe1 0.500 0.500 0.000  0.21

The calculation puts the density of states at the Fermi level at 2.38 states/eV/cell. The formation energy comes out at -1.237 eV per formula unit. The space group is P4/mmm.

Record 8
Entry from Alexandria via LeMat-Bulk: TaAl2Fe at its PBEsol-relaxed geometry (meta-GGA SCAN).

Cell: 3.822 3.822 3.928 Å, 90.00 90.00 90.00°
Last column: magnetic moment on the atom in μB.
Positions (direct):
Ta1 0.000 0.000 0.500  -0.09
Al1 0.000 0.500 0.000  -0.01
Al2 0.500 0.000 0.000  -0.01
Fe1 0.500 0.500 0.500  2.51

The calculation puts the density of states at the Fermi level at 2.40 states/eV/cell. The formation energy comes out at -1.066 eV per formula unit. The space group is P4/mmm.

Record 9
Entry from Alexandria via LeMat-Bulk: Tb2Al3Fe at its PBEsol-relaxed geometry (meta-GGA SCAN).

Cell: 5.339 5.339 5.339 Å, 61.67 61.67 61.67°
Last column: magnetic moment on the atom in μB.
Positions (direct):
Fe1 0.000 0.000 0.000  2.72
Al1 0.500 0.000 0.000  -0.02
Al2 0.000 0.000 0.500  -0.02
Al3 0.000 0.500 0.000  -0.02
Tb1 0.374 0.374 0.374  -0.05
Tb2 0.626 0.626 0.626  -0.05

The calculation puts the density of states at the Fermi level at 4.06 states/eV/cell. The formation energy comes out at -2.730 eV per formula unit. The space group is R-3m.

Record 10
Entry from Alexandria via LeMat-Bulk: TbAl8Fe4 at its PBEsol-relaxed geometry (meta-GGA SCAN).

Cell: 4.970 6.578 6.578 Å, 81.79 67.80 67.80°
Last column: magnetic moment on the atom in μB.
Positions (direct):
Fe1 0.500 0.000 0.500  1.88
Fe2 0.000 0.000 0.500  1.88
Fe3 0.500 0.500 0.000  1.88
Fe4 0.000 0.500 0.000  1.88
Al1 0.000 0.340 0.660  -0.03
Al2 0.721 0.779 0.779  -0.03
Al3 0.500 0.779 0.221  -0.03
Al4 0.000 0.660 0.340  -0.03
Al5 0.279 0.221 0.221  -0.03
Al6 0.340 0.660 0.660  -0.03
Al7 0.500 0.221 0.779  -0.03
Al8 0.660 0.340 0.340  -0.03
Tb1 0.000 0.000 0.000  -0.20

The calculation puts the density of states at the Fermi level at 6.00 states/eV/cell. The formation energy comes out at -6.040 eV per formula unit. The space group is I4/mmm.

Record 11
Entry from Alexandria via LeMat-Bulk: TbAl6Fe6 at its PBEsol-relaxed geometry (meta-GGA SCAN).

Cell: 4.921 6.470 6.470 Å, 80.93 67.65 67.65°
Last column: magnetic moment on the atom in μB.
Positions (direct):
Fe1 0.500 0.760 0.240  2.11
Fe2 0.000 0.500 0.000  2.04
Fe3 0.500 0.000 0.500  2.04
Fe4 0.000 0.000 0.500  2.04
Fe5 0.500 0.500 0.000  2.04
Fe6 0.500 0.240 0.760  2.11
Tb1 0.000 0.000 0.000  -0.29
Al1 0.346 0.654 0.654  -0.06
Al2 0.308 0.192 0.192  -0.06
Al3 0.000 0.663 0.337  -0.05
Al4 0.000 0.337 0.663  -0.05
Al5 0.654 0.346 0.346  -0.06
Al6 0.692 0.808 0.808  -0.06

The calculation puts the density of states at the Fermi level at 5.54 states/eV/cell. The formation energy comes out at -5.554 eV per formula unit. The space group is Immm.

Record 12
Entry from Alexandria via LeMat-Bulk: TbAl10Fe2 at its PBEsol-relaxed geometry (meta-GGA SCAN).

Cell: 6.704 6.704 8.894 Å, 90.00 90.00 97.30°
Last column: magnetic moment on the atom in μB.
Positions (direct):
Al1 0.227 0.227 0.500  -0.01
Al2 0.841 0.159 0.097  -0.01
Al3 0.773 0.773 0.500  -0.01
Al4 0.159 0.841 0.597  -0.01
Al5 0.625 0.375 0.950  -0.01
Al6 0.841 0.159 0.403  -0.01
Al7 0.220 0.478 0.750  0.00
Al8 0.375 0.625 0.450  -0.01
Al9 0.227 0.227 0.000  -0.01
Al10 0.773 0.773 0.000  -0.01
Al11 0.625 0.375 0.550  -0.01
Al12 0.133 0.414 0.250  -0.01
Al13 0.586 0.867 0.250  -0.01
Al14 0.867 0.586 0.750  -0.01
Al15 0.375 0.625 0.050  -0.01
Al16 0.159 0.841 0.903  -0.01
Al17 0.780 0.522 0.250  0.00
Al18 0.478 0.220 0.250  0.00
Al19 0.414 0.133 0.750  -0.01
Al20 0.522 0.780 0.750  0.00
Fe1 0.000 0.500 0.000  0.48
Fe2 0.500 0.000 0.500  0.48
Fe3 0.500 0.000 0.000  0.48
Fe4 0.000 0.500 0.500  0.48
Tb1 0.875 0.125 0.750  -0.03
Tb2 0.125 0.875 0.250  -0.03

The calculation puts the density of states at the Fermi level at 9.37 states/eV/cell. The formation energy comes out at -4.463 eV per formula unit. The space group is Cmcm.

Record 13
Entry from Alexandria via LeMat-Bulk: Tb2AlFe3 at its PBEsol-relaxed geometry (meta-GGA SCAN).

Cell: 5.111 5.111 5.111 Å, 60.26 60.26 60.26°
Last column: magnetic moment on the atom in μB.
Positions (direct):
Tb1 0.622 0.622 0.622  -0.47
Tb2 0.378 0.378 0.378  -0.47
Fe1 0.000 0.000 0.500  2.06
Fe2 0.500 0.000 0.000  2.06
Fe3 0.000 0.500 0.000  2.06
Al1 0.000 0.000 0.000  -0.07

The calculation puts the density of states at the Fermi level at 5.60 states/eV/cell. The formation energy comes out at -0.819 eV per formula unit. The space group is R-3m.

Record 14
Entry from Alexandria via LeMat-Bulk: Tb3Al4Fe2 at its PBEsol-relaxed geometry (meta-GGA SCAN).

Cell: 5.297 5.319 13.234 Å, 89.21 88.23 61.02°
Last column: magnetic moment on the atom in μB.
Positions (direct):
Tb1 0.026 0.990 0.619  -0.24
Tb2 0.974 0.010 0.381  -0.24
Tb3 0.672 0.666 0.705  -0.13
Tb4 0.328 0.334 0.295  -0.13
Tb5 0.671 0.667 0.957  -0.05
Tb6 0.329 0.333 0.043  -0.05
Fe1 0.175 0.161 0.832  2.67
Fe2 0.500 0.000 0.500  2.27
Fe3 0.825 0.839 0.168  2.67
Fe4 0.500 0.500 0.500  2.47
Al1 0.826 0.340 0.169  -0.02
Al2 0.000 0.000 0.000  -0.02
Al3 0.354 0.314 0.660  -0.04
Al4 0.325 0.837 0.169  -0.03
Al5 0.000 0.500 0.500  -0.04
Al6 0.675 0.163 0.831  -0.03
Al7 0.174 0.660 0.831  -0.02
Al8 0.646 0.686 0.340  -0.04

The calculation puts the density of states at the Fermi level at 11.09 states/eV/cell. The formation energy comes out at -3.654 eV per formula unit. The space group is P-1.

Record 15
Entry from Alexandria via LeMat-Bulk: AlFeTc2 at its PBEsol-relaxed geometry (meta-GGA SCAN).

Cell: 2.619 4.863 4.863 Å, 116.38 99.23 99.23°
Last column: magnetic moment on the atom in μB.
Positions (direct):
Tc1 0.000 0.000 0.500  -0.07
Tc2 0.000 0.500 0.000  -0.07
Fe1 0.500 0.500 0.500  2.60
Al1 0.500 0.000 0.000  -0.01

The calculation puts the density of states at the Fermi level at 2.95 states/eV/cell. The formation energy comes out at -0.555 eV per formula unit. The space group is C2/m.

Record 16
Entry from Alexandria via LeMat-Bulk: AlFeTc at its PBEsol-relaxed geometry (meta-GGA SCAN).

Cell: 2.776 2.776 5.181 Å, 105.54 105.54 90.00°
Last column: magnetic moment on the atom in μB.
Positions (direct):
Tc1 0.676 0.676 0.352  -0.37
Al1 0.990 0.990 0.980  -0.02
Fe1 0.334 0.334 0.668  1.78

The calculation puts the density of states at the Fermi level at 2.37 states/eV/cell. The formation energy comes out at -0.753 eV per formula unit. The space group is I4mm.

Record 17
Entry from Alexandria via LeMat-Bulk: AlFe2Tc at its PBEsol-relaxed geometry (meta-GGA SCAN).

Cell: 2.781 4.121 4.121 Å, 93.10 90.00 90.00°
Last column: magnetic moment on the atom in μB.
Positions (direct):
Tc1 0.500 0.000 0.000  -0.01
Fe1 0.000 0.000 0.500  0.93
Fe2 0.000 0.500 0.000  0.93
Al1 0.500 0.500 0.500  -0.03

The calculation puts the density of states at the Fermi level at 2.86 states/eV/cell. The formation energy comes out at -0.167 eV per formula unit. The space group is Cmmm.

Record 18
Entry from Alexandria via LeMat-Bulk: AlFe2Tc at its PBEsol-relaxed geometry (meta-GGA SCAN).

Cell: 2.872 2.872 5.872 Å, 90.00 90.00 90.00°
Last column: magnetic moment on the atom in μB.
Positions (direct):
Fe1 0.000 0.000 0.012  2.14
Fe2 0.500 0.500 0.235  2.35
Tc1 0.000 0.000 0.482  -0.55
Al1 0.500 0.500 0.771  -0.04

The calculation puts the density of states at the Fermi level at 3.64 states/eV/cell. The formation energy comes out at -0.803 eV per formula unit. The space group is P4mm.

Record 19
Entry from Alexandria via LeMat-Bulk: AlFeTc2 at its PBEsol-relaxed geometry (meta-GGA SCAN).

Cell: 3.039 4.143 4.857 Å, 115.24 108.23 90.00°
Last column: magnetic moment on the atom in μB.
Positions (direct):
Tc1 0.252 0.252 0.505  -0.01
Tc2 0.004 0.504 0.009  -0.26
Fe1 0.750 0.750 0.501  2.40
Al1 0.493 0.993 0.986  -0.01

The calculation puts the density of states at the Fermi level at 2.41 states/eV/cell. The formation energy comes out at -1.138 eV per formula unit. The space group is Imm2.

Record 20
Entry from Alexandria via LeMat-Bulk: Al3FeTe at its PBEsol-relaxed geometry (meta-GGA SCAN).

Cell: 5.211 5.211 5.211 Å, 90.00 90.00 90.00°
Last column: magnetic moment on the atom in μB.
Positions (direct):
Te1 0.000 0.000 0.000  -0.06
Al1 0.000 0.000 0.500  -0.03
Al2 0.000 0.500 0.000  -0.03
Al3 0.500 0.000 0.000  -0.03
Fe1 0.500 0.500 0.500  3.42

The calculation puts the density of states at the Fermi level at 7.10 states/eV/cell. The space group is Pm-3m. The raw total energy comes out at -0.523 hartree per atom.